Below is crystalline Tl3Ga3Pb at its relaxed geometry, with properties calculated at the PBE-GGA level.

The structure in POSCAR format:
```
Tl3Ga3Pb
1.0
7.827 0.000 0.000
0.000 7.827 0.000
0.000 0.000 7.827
Tl Ga Pb
6 6 2
direct
0.000 0.250 0.500 Tl
0.000 0.750 0.500 Tl
0.250 0.500 0.000 Tl
0.500 0.000 0.250 Tl
0.500 0.000 0.750 Tl
0.750 0.500 0.000 Tl
0.000 0.500 0.250 Ga
0.000 0.500 0.750 Ga
0.250 0.000 0.500 Ga
0.500 0.250 0.000 Ga
0.500 0.750 0.000 Ga
0.750 0.000 0.500 Ga
0.000 0.000 0.000 Pb
0.500 0.500 0.500 Pb
```

## Properties
- Crystal system: cubic
- ΔE_f: 480 meV/atom
- Density: 7.13 g/cm3
- Total energy: -2.3609 eV per atom